## KRbCdHg (PBE)

Data for KRbCdHg after structural relaxation.

- Theoretical density: 4.31 g cm⁻³
- Magnetization: 0.000 μB per atom
- Energy of formation: -0.09 eV per atom
- Energy above the lowest structure with this stoichiometry: 51 meV/atom

Cell: 8.7674 8.7674 8.7674 Å, 90.00 90.00 90.00°
Space group F-43m (No. 216)
Inequivalent atoms, fractional coordinates:
K  0.0000  0.0000  0.0000 [4 per cell]
Rb  0.0000  0.0000  0.5000 [4 per cell]
Cd  0.2500  0.2500  0.2500 [4 per cell]
Hg  0.2500  0.2500  0.7500 [4 per cell]